Density functional theory data (GGA-PBE) for a relaxed structure of Sr3LaTe.

Lattice parameters (Å, degrees): 6.2096 6.2096 6.2096 90.00 90.00 90.00
Space group Pm-3m (No. 221)
Symmetry-distinct sites (fractional):
Sr1 0.0000 0.0000 0.5000 [3 per cell]
La1 0.0000 0.0000 0.0000 [1 per cell]
Te1 0.5000 0.5000 0.5000 [1 per cell]

Results
DOS at the Fermi energy   8.62 states/eV per cell
Density   3.67 g/cm³
Magnetization   0.4557 μB per atom
Excess energy over the best structure of this formula in the dataset   0.812 eV/atom
Calculated total energy   -2.053 eV per atom